# Co2S3 | the Alexandria database | GGA-PBEsol | optimized geometry
data_Co2S3
_chemical_formula_sum 'Co4 S6'
_symmetry_space_group_name_H-M 'P 1'
_symmetry_Int_Tables_number 1
_cell_length_a 5.605
_cell_length_b 5.605
_cell_length_c 5.890
_cell_angle_alpha 61.59
_cell_angle_beta 61.59
_cell_angle_gamma 60.00
loop_
_symmetry_equiv_pos_as_xyz
'x,y,z'
loop_
_atom_site_label
_atom_site_fract_x
_atom_site_fract_y
_atom_site_fract_z
S1 0.250 0.553 0.250
S2 0.947 0.250 0.250
S3 0.553 0.947 0.250
S4 0.447 0.053 0.750
S5 0.053 0.750 0.750
S6 0.750 0.447 0.750
Co1 0.649 0.649 0.053
Co2 0.851 0.851 0.447
Co3 0.149 0.149 0.553
Co4 0.351 0.351 0.947
# Volume   13.39 Å³ per atom
# Raw formation energy   -2.7 eV per formula unit
# Crystal system   trigonal
# Density of states at the Fermi level   1.98 states/eV/cell


# TlCo2SiPb | the Alexandria database | GGA-PBEsol | optimized geometry
data_TlCo2SiPb
_chemical_formula_sum 'Tl1 Co2 Si1 Pb1'
_symmetry_space_group_name_H-M 'P 1'
_symmetry_Int_Tables_number 1
_cell_length_a 4.792
_cell_length_b 4.792
_cell_length_c 4.978
_cell_angle_alpha 90.00
_cell_angle_beta 90.00
_cell_angle_gamma 90.00
loop_
_symmetry_equiv_pos_as_xyz
'x,y,z'
loop_
_atom_site_label
_atom_site_fract_x
_atom_site_fract_y
_atom_site_fract_z
Pb1 0.500 0.500 0.500
Tl1 0.000 0.000 0.000
Co1 0.000 0.500 0.000
Co2 0.500 0.000 0.000
Si1 0.000 0.000 0.500
# Volume   22.86 Å³ per atom
# Raw formation energy   7.3 eV per formula unit
# Crystal system   tetragonal
# Density of states at the Fermi level   10.52 states/eV/cell


# SiAg2Sb | the Alexandria database | GGA-PBEsol | optimized geometry
data_SiAg2Sb
_chemical_formula_sum 'Si1 Ag2 Sb1'
_symmetry_space_group_name_H-M 'P 1'
_symmetry_Int_Tables_number 1
_cell_length_a 3.061
_cell_length_b 3.061
_cell_length_c 7.968
_cell_angle_alpha 90.00
_cell_angle_beta 90.00
_cell_angle_gamma 89.86
loop_
_symmetry_equiv_pos_as_xyz
'x,y,z'
loop_
_atom_site_label
_atom_site_fract_x
_atom_site_fract_y
_atom_site_fract_z
Ag1 0.000 0.000 0.011
Ag2 0.500 0.500 0.773
Sb1 0.000 0.000 0.505
Si1 0.500 0.500 0.210
# Volume   18.67 Å³ per atom
# Raw formation energy   1.0 eV per formula unit
# Crystal system   orthorhombic
# Density of states at the Fermi level   1.38 states/eV/cell


# SrZn2Cl | the Alexandria database | GGA-PBEsol | optimized geometry
data_SrZn2Cl
_chemical_formula_sum 'Sr1 Zn2 Cl1'
_symmetry_space_group_name_H-M 'P 1'
_symmetry_Int_Tables_number 1
_cell_length_a 3.974
_cell_length_b 3.974
_cell_length_c 6.683
_cell_angle_alpha 107.09
_cell_angle_beta 107.09
_cell_angle_gamma 90.66
loop_
_symmetry_equiv_pos_as_xyz
'x,y,z'
loop_
_atom_site_label
_atom_site_fract_x
_atom_site_fract_y
_atom_site_fract_z
Sr1 0.000 0.000 0.000
Zn1 0.500 0.000 0.500
Zn2 0.000 0.500 0.500
Cl1 0.500 0.500 0.000
# Volume   23.97 Å³ per atom
# Raw formation energy   -2.5 eV per formula unit
# Crystal system   orthorhombic
# Density of states at the Fermi level   1.59 states/eV/cell


# TlZnRu2 | the Alexandria database | GGA-PBEsol | optimized geometry
data_TlZnRu2
_chemical_formula_sum 'Tl1 Zn1 Ru2'
_symmetry_space_group_name_H-M 'P 1'
_symmetry_Int_Tables_number 1
_cell_length_a 2.834
_cell_length_b 2.834
_cell_length_c 8.669
_cell_angle_alpha 90.00
_cell_angle_beta 90.00
_cell_angle_gamma 116.00
loop_
_symmetry_equiv_pos_as_xyz
'x,y,z'
loop_
_atom_site_label
_atom_site_fract_x
_atom_site_fract_y
_atom_site_fract_z
Ru1 0.000 0.000 0.234
Ru2 0.000 0.000 0.766
Tl1 0.500 0.500 0.500
Zn1 0.500 0.500 0.000
# Volume   15.64 Å³ per atom
# E_form   0.592 eV per atom
# Crystal system   orthorhombic
# Density of states at the Fermi level   4.29 states/eV/cell


# LiPtCO2 | the Alexandria database | GGA-PBEsol | optimized geometry
data_LiPtCO2
_chemical_formula_sum 'Li1 Pt1 C1 O2'
_symmetry_space_group_name_H-M 'P 1'
_symmetry_Int_Tables_number 1
_cell_length_a 3.104
_cell_length_b 3.104
_cell_length_c 5.962
_cell_angle_alpha 90.00
_cell_angle_beta 90.00
_cell_angle_gamma 90.00
loop_
_symmetry_equiv_pos_as_xyz
'x,y,z'
loop_
_atom_site_label
_atom_site_fract_x
_atom_site_fract_y
_atom_site_fract_z
C1 0.500 0.500 0.500
O1 0.000 0.500 0.000
O2 0.500 0.000 0.000
Pt1 0.000 0.000 0.500
Li1 0.000 0.000 0.000
# Volume   11.49 Å³ per atom
# Raw formation energy   5.9 eV per formula unit
# Crystal system   tetragonal
# Density of states at the Fermi level   4.10 states/eV/cell


# YMgAs | the Alexandria database | GGA-PBEsol | optimized geometry
data_YMgAs
_chemical_formula_sum 'Y1 Mg1 As1'
_symmetry_space_group_name_H-M 'P 1'
_symmetry_Int_Tables_number 1
_cell_length_a 3.569
_cell_length_b 3.569
_cell_length_c 5.910
_cell_angle_alpha 107.58
_cell_angle_beta 107.58
_cell_angle_gamma 90.00
loop_
_symmetry_equiv_pos_as_xyz
'x,y,z'
loop_
_atom_site_label
_atom_site_fract_x
_atom_site_fract_y
_atom_site_fract_z
Y1 0.644 0.644 0.289
As1 0.996 0.996 0.991
Mg1 0.360 0.360 0.720
# Volume   22.69 Å³ per atom
# E_form   -0.535 eV per atom
# Crystal system   tetragonal
# Density of states at the Fermi level   1.90 states/eV/cell


# Zn2RuBr | the Alexandria database | GGA-PBEsol | optimized geometry
data_Zn2RuBr
_chemical_formula_sum 'Zn2 Ru1 Br1'
_symmetry_space_group_name_H-M 'P 1'
_symmetry_Int_Tables_number 1
_cell_length_a 3.755
_cell_length_b 3.755
_cell_length_c 5.050
_cell_angle_alpha 111.83
_cell_angle_beta 111.83
_cell_angle_gamma 90.00
loop_
_symmetry_equiv_pos_as_xyz
'x,y,z'
loop_
_atom_site_label
_atom_site_fract_x
_atom_site_fract_y
_atom_site_fract_z
Br1 0.500 0.500 0.000
Ru1 0.000 0.000 0.000
Zn1 0.750 0.250 0.500
Zn2 0.250 0.750 0.500
# Volume   15.14 Å³ per atom
# Raw formation energy   1.9 eV per formula unit
# Crystal system   tetragonal
# Density of states at the Fermi level   2.06 states/eV/cell